Entry from the Alexandria database: a relaxed structure of LaBeRe3 (PBE-GGA).

Calculated values
uncorrected energy = -0.30781 hartree per atom
V = 86 Å³/cell
calculated formation energy = 4.12 eV/f.u.

a b c (Å): 4.409 4.409 4.409
angles (deg): 90.00 90.00 90.00
Space group Pm-3m (No. 221)
Symmetry-distinct sites (fractional):
La: 0.000 0.000 0.000 (multiplicity 1)
Be: 0.500 0.500 0.500 (multiplicity 1)
Re: 0.000 0.500 0.500 (multiplicity 3)